Mg2ReGe2 after structural relaxation, computed with PBE.

abc: 6.648 6.648 3.912
angles: 90.00 90.00 90.00
Space group P4/mbm (No. 127)
One atom of each set of equivalent atoms:
Mg 0.172 0.328 0.000
Re 0.000 0.000 0.500
Ge 0.138 0.638 0.500

magnetic moment	0.0	μB per cell
energy relative to the elements	28.2	meV per atom
relative energy among the computed polymorphs	0	kJ/mol of formula units


Ag2HgWCl after structural relaxation, computed with PBE.

abc: 5.293 5.293 5.427
angles: 90.00 90.00 90.00
Space group P4/mmm (No. 123)
One atom of each set of equivalent atoms:
Ag 0.000 0.500 0.000
Hg 0.000 0.000 0.500
W 0.000 0.000 0.000
Cl 0.500 0.500 0.500

magnetic moment	3.2	μB per cell
formation energy without anion corrections	132.3	kJ per mole of atoms


CoCuW2 after structural relaxation, computed with PBE.

abc: 3.802 3.802 3.781
angles: 90.00 90.00 90.00
Space group P4/mmm (No. 123)
One atom of each set of equivalent atoms:
Co 0.000 0.000 0.000
Cu 0.500 0.500 0.000
W 0.000 0.500 0.500

magnetic moment	0.5	μB per cell
energy relative to the elements	252.4	meV per atom
relative energy among the computed polymorphs	25	kJ/mol of formula units